Entry w
First-principles (GGA-PBE) data for an optimized crystal structure of ScNbMo2, as listed in Alexandria via LeMat-Bulk.

CIF file:
```
data_ScNbMo2
_chemical_formula_sum 'Sc4 Nb4 Mo8'
_cell_length_a 7.285
_cell_length_b 7.285
_cell_length_c 5.621
_cell_angle_alpha 90.00
_cell_angle_beta 90.00
_cell_angle_gamma 90.00
_symmetry_space_group_name_H-M 'I -4 2 d'
_symmetry_Int_Tables_number 122
_symmetry_space_group_name_Hall 'I -4 2bw'
loop_
_atom_site_label
_atom_site_type_symbol
_atom_site_fract_x
_atom_site_fract_y
_atom_site_fract_z
Sc1 Sc 0.000 0.000 0.000
Nb1 Nb 0.000 0.000 0.500
Mo1 Mo 0.233 0.250 0.625
```

---

Entry x
First-principles (GGA-PBE) data for an optimized crystal structure of ScNbMo2, as listed in Alexandria via LeMat-Bulk.

CIF file:
```
data_ScNbMo2
_chemical_formula_sum 'Sc1 Nb1 Mo2'
_cell_length_a 3.235
_cell_length_b 3.235
_cell_length_c 6.786
_cell_angle_alpha 90.00
_cell_angle_beta 90.00
_cell_angle_gamma 90.00
_symmetry_space_group_name_H-M 'P 4/m m m'
_symmetry_Int_Tables_number 123
_symmetry_space_group_name_Hall '-P 4 2'
loop_
_atom_site_label
_atom_site_type_symbol
_atom_site_fract_x
_atom_site_fract_y
_atom_site_fract_z
Sc1 Sc 0.000 0.000 0.000
Nb1 Nb 0.000 0.000 0.500
Mo1 Mo 0.500 0.500 0.273
```

---

Entry y
First-principles (GGA-PBE) data for an optimized crystal structure of ScNbMo2, as listed in Alexandria via LeMat-Bulk.

CIF file:
```
data_ScNbMo2
_chemical_formula_sum 'Sc4 Nb4 Mo8'
_cell_length_a 6.529
_cell_length_b 6.529
_cell_length_c 6.529
_cell_angle_alpha 90.00
_cell_angle_beta 90.00
_cell_angle_gamma 90.00
_symmetry_space_group_name_H-M 'F m -3 m'
_symmetry_Int_Tables_number 225
_symmetry_space_group_name_Hall '-F 4 2 3'
loop_
_atom_site_label
_atom_site_type_symbol
_atom_site_fract_x
_atom_site_fract_y
_atom_site_fract_z
Sc1 Sc 0.000 0.000 0.000
Nb1 Nb 0.000 0.000 0.500
Mo1 Mo 0.250 0.250 0.250
```

---

The calculated energies rank the structures as follows, beginning with the most stable: entry x, entry y, entry w.